Run P
## CsSbMoI2 (PBE)

Data for a relaxed structure of CsSbMoI2.

It has space group P4/mmm (No. 123), with a = 6.0115 Å, b = 6.0115 Å, c = 5.2803 Å, α = 90.00°, β = 90.00° and γ = 90.00°. The inequivalent atoms are Cs at (0.0000, 0.0000, 0.0000), Sb at (0.5000, 0.5000, 0.0000), Mo at (0.5000, 0.5000, 0.5000) and I at (0.0000, 0.5000, 0.5000).



Run Q
## CsSbMoI2 (PBE)

Data for a relaxed structure of CsSbMoI2.

It has space group P4/mmm (No. 123), with a = 7.2048 Å, b = 7.2048 Å, c = 7.1319 Å, α = 90.00°, β = 90.00° and γ = 90.00°. The inequivalent atoms are Cs at (0.0000, 0.0000, 0.0000), Sb at (0.0000, 0.0000, 0.5000), Mo at (0.5000, 0.5000, 0.5000) and I at (0.0000, 0.5000, 0.0000).



Question: which arrangement is favored energetically? Ranking from most to least stable: run P, run Q.